one) {"formula": "EuCrO2", "functional": "PBE with a Hubbard U", "state": "optimized geometry", "cell": [[2.8588, 0.0000, 0.0000], [0.0000, 2.8588, 0.0000], [0.0000, 0.0000, 5.7648]], "species": ["Eu", "O", "Cr", "O"], "frac_coords": [[0.5000, 0.5000, 0.5000], [0.0000, 0.0000, 0.2222], [0.5000, 0.5000, 0.0000], [0.0000, 0.0000, 0.7778]], "spacegroup": "No. 123", "m_tot_mub_per_cell": 7.00, "mass_density_g_cm3": 8.3}

two) {"formula": "EuCrO2", "functional": "PBE with a Hubbard U", "state": "optimized geometry", "cell": [[-0.7818, 3.3594, -0.4815], [-3.1309, 0.9001, -1.2312], [-3.1684, 1.6942, 4.3700]], "species": ["O", "Cr", "Eu", "O"], "frac_coords": [[0.2563, 0.2563, 0.2311], [0.0000, 0.0000, 0.0000], [0.5000, 0.5000, 0.5000], [0.7437, 0.7437, 0.7689]], "spacegroup": "No. 166", "m_tot_mub_per_cell": 11.00, "mass_density_g_cm3": 7.1}

Relative energies, in meV per atom, with the most stable structure set to zero: one) 977; two) 0.

one) {"formula": "CrF", "functional": "PBE with a Hubbard U", "state": "optimized geometry", "cell": [[-3.1340, -9.9242, 3.8013], [0.4548, -1.2923, -2.9990], [4.9722, -1.0999, 1.2280]], "species": ["Cr", "F", "F", "Cr", "F", "Cr", "F", "Cr", "Cr", "Cr", "F", "F"], "frac_coords": [[0.5000, 0.2486, 0.1325], [0.7829, 0.7503, 0.9694], [0.7171, 0.2497, 0.4694], [0.6418, 0.7491, 0.7274], [0.5000, 0.7482, 0.4758], [0.3582, 0.7491, 0.7274], [0.2171, 0.7503, 0.9694], [0.1418, 0.2509, 0.2274], [0.8582, 0.2509, 0.2274], [0.0000, 0.7514, 0.6325], [0.0000, 0.2518, 0.9758], [0.2829, 0.2497, 0.4694]], "spacegroup": "No. 31", "m_tot_mub_per_cell": 26.49, "mass_density_g_cm3": 3.7}

two) {"formula": "CrF", "functional": "PBE with a Hubbard U", "state": "optimized geometry", "cell": [[-0.1597, -3.2287, 0.8540], [2.4253, 1.9392, 1.2397], [-4.0423, 1.6209, 5.3725]], "species": ["Cr", "Cr", "F", "F"], "frac_coords": [[0.3333, 0.6667, 0.6925], [0.6667, 0.3333, 0.1925], [0.6667, 0.3333, 0.8895], [0.3333, 0.6667, 0.3895]], "spacegroup": "No. 186", "m_tot_mub_per_cell": 9.81, "mass_density_g_cm3": 3.5}

Relative energies, in meV per atom, with the most stable structure set to zero: one) 0; two) 206.

one) {"formula": "CrF", "functional": "PBE with a Hubbard U", "state": "optimized geometry", "cell": [[-0.2943, -2.8541, 1.7171], [-2.2268, -2.3263, -4.2483], [10.7063, -3.3700, -3.7664]], "species": ["F", "F", "F", "F", "F", "Cr", "Cr", "Cr", "Cr", "Cr", "F", "Cr"], "frac_coords": [[0.0000, 0.2517, 0.0000], [0.5000, 0.3005, 0.2229], [0.0000, 0.6995, 0.7229], [0.5000, 0.7483, 0.5000], [0.5000, 0.3005, 0.7771], [0.0000, 0.5020, 0.1314], [0.5000, 0.4980, 0.3686], [0.5000, 0.4980, 0.6314], [0.5000, 0.9008, 0.0000], [0.0000, 0.5020, 0.8686], [0.0000, 0.6995, 0.2771], [0.0000, 0.0992, 0.5000]], "spacegroup": "No. 59", "m_tot_mub_per_cell": 26.50, "mass_density_g_cm3": 3.4}

two) {"formula": "CrF", "functional": "PBE with a Hubbard U", "state": "optimized geometry", "cell": [[7.1527, 0.0000, 0.0000], [0.0000, 7.1527, 0.0000], [0.0000, 0.0000, 7.1527]], "species": ["F", "F", "F", "F", "Cr", "Cr", "F", "Cr", "Cr", "Cr", "F", "F", "Cr", "F", "Cr", "Cr"], "frac_coords": [[0.7610, 0.7610, 0.2390], [0.2610, 0.2610, 0.7390], [0.7610, 0.2390, 0.7610], [0.2390, 0.7610, 0.7610], [0.8910, 0.8910, 0.8910], [0.6090, 0.6090, 0.3910], [0.2390, 0.2390, 0.2390], [0.1090, 0.8910, 0.1090], [0.8910, 0.1090, 0.1090], [0.6090, 0.3910, 0.6090], [0.2610, 0.7390, 0.2610], [0.7390, 0.2610, 0.2610], [0.1090, 0.1090, 0.8910], [0.7390, 0.7390, 0.7390], [0.3910, 0.3910, 0.3910], [0.3910, 0.6090, 0.6090]], "spacegroup": "No. 217", "m_tot_mub_per_cell": 0.00, "mass_density_g_cm3": 2.6}

three) {"formula": "CrF", "functional": "PBE with a Hubbard U", "state": "optimized geometry", "cell": [[-1.8985, 6.7634, -0.1201], [-6.4603, -1.7759, 2.1149], [1.7459, 0.5936, 5.8319]], "species": ["Cr", "Cr", "Cr", "F", "F", "Cr", "F", "Cr", "Cr", "Cr", "Cr", "F", "F", "F", "F", "F"], "frac_coords": [[0.2163, 0.3799, 0.0000], [0.7837, 0.6201, 0.0000], [0.6201, 0.2163, 0.0000], [0.8861, 0.6611, 0.5000], [0.8861, 0.3389, 0.0000], [0.3799, 0.2163, 0.5000], [0.3389, 0.8861, 0.5000], [0.6201, 0.7837, 0.5000], [0.3799, 0.7837, 0.0000], [0.7837, 0.3799, 0.5000], [0.2163, 0.6201, 0.5000], [0.6611, 0.1139, 0.5000], [0.3389, 0.1139, 0.0000], [0.1139, 0.3389, 0.5000], [0.6611, 0.8861, 0.0000], [0.1139, 0.6611, 0.0000]], "spacegroup": "No. 124", "m_tot_mub_per_cell": 37.01, "mass_density_g_cm3": 3.1}

four) {"formula": "CrF", "functional": "PBE with a Hubbard U", "state": "optimized geometry", "cell": [[7.3983, 0.0000, 0.0000], [0.0000, 9.6685, 0.0000], [0.0000, 0.0000, 7.1087]], "species": ["Cr", "F", "Cr", "Cr", "Cr", "F", "Cr", "F", "F", "F", "F", "F", "Cr", "F", "Cr", "Cr", "Cr", "Cr", "Cr", "F", "Cr", "Cr", "Cr", "F", "F", "Cr", "F", "F", "Cr", "F", "F", "F"], "frac_coords": [[0.9734, 0.7500, 0.7500], [0.7500, 0.6034, 0.2500], [0.5266, 0.2500, 0.2500], [0.9734, 0.2500, 0.2500], [0.5266, 0.7500, 0.7500], [0.2500, 0.6034, 0.7500], [0.2234, 0.5000, 0.5000], [0.2500, 0.8966, 0.7500], [0.5000, 0.8534, 0.0000], [0.5000, 0.1466, 0.0000], [0.7500, 0.8966, 0.2500], [0.5000, 0.3534, 0.5000], [0.4734, 0.7500, 0.2500], [0.2500, 0.3966, 0.2500], [0.0266, 0.7500, 0.2500], [0.7234, 0.0000, 0.5000], [0.4734, 0.2500, 0.7500], [0.7766, 0.0000, 0.0000], [0.7766, 0.5000, 0.5000], [0.0000, 0.1466, 0.5000], [0.2234, 0.0000, 0.0000], [0.2766, 0.0000, 0.5000], [0.7234, 0.5000, 0.0000], [0.7500, 0.1034, 0.7500], [0.5000, 0.6466, 0.5000], [0.2766, 0.5000, 0.0000], [0.0000, 0.8534, 0.5000], [0.7500, 0.3966, 0.7500], [0.0266, 0.2500, 0.7500], [0.0000, 0.6466, 0.0000], [0.0000, 0.3534, 0.0000], [0.2500, 0.1034, 0.2500]], "spacegroup": "No. 70", "m_tot_mub_per_cell": 66.53, "mass_density_g_cm3": 3.7}

Relative energies, in meV per atom, with the most stable structure set to zero: one) 0; two) 1799; three) 63; four) 14.